[1]
First-principles (PBE) data for a relaxed structure of CdHg2BTe, as listed in Alexandria via LeMat-Bulk.

Values from the calculation:
Space group = P4/mmm
M_tot = 1.16 μB/f.u.
Raw formation energy = 1323 meV per atom

The structure in POSCAR format:
```
CdHg2BTe
1.0
5.9157 0.0000 0.0000
0.0000 5.9157 0.0000
0.0000 0.0000 5.8130
Cd Hg B Te
1 2 1 1
Direct
0.0000 0.0000 0.0000
0.0000 0.5000 0.5000
0.5000 0.0000 0.5000
0.5000 0.5000 0.0000
0.0000 0.0000 0.5000
```

---

[2]
First-principles (PBE) data for a relaxed structure of Ti3BeSb2, as listed in Alexandria via LeMat-Bulk.

Values from the calculation:
Space group = Pnma
M_tot = 0.00 μB/f.u.
Raw formation energy = -328 meV per atom

The structure in POSCAR format:
```
Ti3BeSb2
1.0
10.9465 0.0000 0.0000
0.0000 3.8060 0.0000
0.0000 0.0000 10.1621
Ti Be Sb
12 4 8
Direct
0.0527 0.2500 0.1116
0.1236 0.7500 0.5493
0.2440 0.2500 0.7642
0.2560 0.7500 0.2642
0.3764 0.2500 0.0493
0.4473 0.7500 0.6116
0.5527 0.2500 0.3884
0.6236 0.7500 0.9507
0.7440 0.2500 0.7358
0.7560 0.7500 0.2358
0.8764 0.2500 0.4507
0.9473 0.7500 0.8884
0.1195 0.2500 0.3645
0.3805 0.7500 0.8645
0.6195 0.2500 0.1355
0.8805 0.7500 0.6355
0.0010 0.2500 0.6967
0.1912 0.7500 0.9827
0.3088 0.2500 0.4827
0.4990 0.7500 0.1967
0.5010 0.2500 0.8033
0.6912 0.7500 0.5173
0.8088 0.2500 0.0173
0.9990 0.7500 0.3033
```